An optimized crystal structure of TlRe2Pb. Source: Alexandria, functional PBE-GGA.

Geometry as extended XYZ:
```
4
Lattice="4.745 0.000 0.000 0.000 4.745 0.000 0.000 0.000 3.348" Properties=species:S:1:pos:R:3 pbc="T T T"
Tl 0.000 0.000 0.000
Re 0.000 2.372 1.674
Re 2.372 0.000 1.674
Pb 2.372 2.372 0.000
```

Computed properties:
- calculated density (Mg/m³) = 17.27
- raw total energy (eV/atom) = -6.3735
- distance to the lowest polymorph of the same formula (meV per atom) = 924